This record from the Alexandria database describes a geometry-optimized Na2Sr2Li structure. The functional is PBE. Values from VASP.

Cell and atoms, written as Quantum ESPRESSO input:
```
&SYSTEM
  ibrav = 0, nat = 10, ntyp = 3
/
ATOMIC_SPECIES
Sr 87.62 Sr.upf
Li 6.94 Li.upf
Na 22.99 Na.upf
ATOMIC_POSITIONS crystal
Sr 0.178 0.678 0.500
Sr 0.678 0.822 0.500
Sr 0.822 0.322 0.500
Sr 0.322 0.178 0.500
Li 0.000 0.000 0.000
Li 0.500 0.500 0.000
Na 0.365 0.865 0.000
Na 0.865 0.635 0.000
Na 0.635 0.135 0.000
Na 0.135 0.365 0.000
CELL_PARAMETERS angstrom
8.427 0.000 0.000
0.000 8.427 0.000
0.000 0.000 5.893
```

- Distance to the lowest polymorph of the same formula: 46 meV/atom
- DFT total energy: -0.110 Ry/atom
- Energy of formation from the pure elements: 0.4 eV/f.u.
- Symmetry: No. 127
- Density: 1.81 g cm⁻³
- Volume: 41.85 Å³/atom
- DOS at the Fermi energy: 0.779 states/eV per atom
- Total magnetic moment: 0.000 μB per cell